Entry 1:
The following is a DFT calculation (GGA-PBE) of a geometry-optimized TaCd2Au structure.

Calculated values
Calculated volume   80.2 Å³/cell
E above lowest polymorph   0.1919 eV/atom
Total DFT energy (no corrections)   -4.007 eV per atom
Formation energy   0.233 eV per atom
Fermi-level density of states   2.58 states/eV per cell
Space-group type   Imm2, No. 44
Total moment   0.00 μB/cell

Structure (CIF):
```
data_TaCd2Au
_chemical_formula_sum 'Ta1 Cd2 Au1'
_symmetry_space_group_name_H-M 'P 1'
_symmetry_Int_Tables_number 1
_cell_length_a 6.106
_cell_length_b 6.106
_cell_length_c 6.106
_cell_angle_alpha 152.88
_cell_angle_beta 128.96
_cell_angle_gamma 58.75
loop_
_symmetry_equiv_pos_as_xyz
'x,y,z'
loop_
_atom_site_label
_atom_site_type_symbol
_atom_site_fract_x
_atom_site_fract_y
_atom_site_fract_z
Ta1 Ta 0.000 0.000 0.000
Cd1 Cd 0.251 0.751 0.500
Cd2 Cd 0.520 0.520 0.000
Au1 Au 0.773 0.273 0.500
```

=====

Entry 2:
The following is a DFT calculation (GGA-PBE) of a geometry-optimized Ta2CdAu structure.

Calculated values
Calculated volume   74.5 Å³/cell
Total DFT energy (no corrections)   -6.774 eV per atom
Formation energy   0.201 eV per atom
Fermi-level density of states   3.27 states/eV per cell
Space-group type   R-3m, No. 166
Total moment   0.00 μB/cell

Structure (CIF):
```
data_Ta2CdAu
_chemical_formula_sum 'Ta2 Cd1 Au1'
_symmetry_space_group_name_H-M 'P 1'
_symmetry_Int_Tables_number 1
_cell_length_a 10.190
_cell_length_b 10.190
_cell_length_c 10.190
_cell_angle_alpha 16.51
_cell_angle_beta 16.51
_cell_angle_gamma 16.51
loop_
_symmetry_equiv_pos_as_xyz
'x,y,z'
loop_
_atom_site_label
_atom_site_type_symbol
_atom_site_fract_x
_atom_site_fract_y
_atom_site_fract_z
Ta1 Ta 0.247 0.247 0.247
Ta2 Ta 0.753 0.753 0.753
Cd1 Cd 0.000 0.000 0.000
Au1 Au 0.500 0.500 0.500
```

=====

Entry 3:
The following is a DFT calculation (GGA-PBE) of a geometry-optimized TaCd2Au structure.

Calculated values
Calculated volume   77.9 Å³/cell
E above lowest polymorph   0.1658 eV/atom
Total DFT energy (no corrections)   -4.033 eV per atom
Formation energy   0.207 eV per atom
Fermi-level density of states   2.73 states/eV per cell
Space-group type   Immm, No. 71
Total moment   0.00 μB/cell

Structure (CIF):
```
data_TaCd2Au
_chemical_formula_sum 'Ta1 Cd2 Au1'
_symmetry_space_group_name_H-M 'P 1'
_symmetry_Int_Tables_number 1
_cell_length_a 5.991
_cell_length_b 5.991
_cell_length_c 5.991
_cell_angle_alpha 152.08
_cell_angle_beta 128.81
_cell_angle_gamma 59.31
loop_
_symmetry_equiv_pos_as_xyz
'x,y,z'
loop_
_atom_site_label
_atom_site_type_symbol
_atom_site_fract_x
_atom_site_fract_y
_atom_site_fract_z
Ta1 Ta 0.000 0.000 0.000
Cd1 Cd 0.256 0.756 0.500
Cd2 Cd 0.744 0.244 0.500
Au1 Au 0.500 0.500 0.000
```